This record from the Alexandria database describes a relaxed structure of Ag2SbSe2S. The functional is PBE-GGA.

Unit cell a=7.496 b=7.206 c=7.201 alpha=120.02 beta=90.00 gamma=90.00
Element x y z (fractional)
S 0.684 0.866 0.000
S 0.184 0.134 0.000
Sb 0.308 0.819 0.000
Sb 0.808 0.181 0.000
Se 0.172 0.490 0.667
Se 0.672 0.177 0.667
Se 0.672 0.510 0.333
Se 0.172 0.823 0.333
Ag 0.318 0.475 0.318
Ag 0.818 0.843 0.318
Ag 0.318 0.157 0.682
Ag 0.818 0.525 0.682

Output
Magnetic moment: 0.000 μB/cell
V: 336.8 Å³ per cell
Raw formation energy: -0.08 eV per atom